Material: Fe8TcMo3
Method: DFT, GGA-PBE
State: optimized geometry

Output
Space-group type: P3m1 (156)
V, Å³/cell: 145.9
DFT formation energy, eV per atom: -0.0070

The structure in CIF format:
```
data_Fe8TcMo3
_symmetry_space_group_name_H-M 'P 1'
_symmetry_Int_Tables_number 1
_cell_length_a 4.6612
_cell_length_b 4.6612
_cell_length_c 7.7517
_cell_angle_alpha 90.00
_cell_angle_beta 90.00
_cell_angle_gamma 120.00
loop_
_symmetry_equiv_pos_as_xyz
'x,y,z'
loop_
_atom_site_label
_atom_site_fract_x
_atom_site_fract_y
_atom_site_fract_z
Fe1 0.3333 0.6667 0.5002
Fe2 0.3333 0.6667 0.0009
Fe3 0.5034 0.0069 0.7502
Fe4 0.5034 0.4966 0.7502
Fe5 0.9931 0.4966 0.7502
Fe6 0.1630 0.3260 0.2494
Fe7 0.1630 0.8370 0.2494
Fe8 0.6740 0.8370 0.2494
Tc1 0.0000 0.0000 0.5652
Mo1 0.6667 0.3333 0.4375
Mo2 0.6667 0.3333 0.0710
Mo3 0.0000 0.0000 0.9264
```